First-principles (PBE-GGA) data for a geometry-optimized Tb3Si4 structure, as listed in Alexandria via LeMat-Bulk.

Geometry as CIF:
```
data_Tb3Si4
_symmetry_space_group_name_H-M 'P 1'
_symmetry_Int_Tables_number 1
_cell_length_a 4.0036
_cell_length_b 5.6476
_cell_length_c 13.7044
_cell_angle_alpha 90.00
_cell_angle_beta 90.00
_cell_angle_gamma 110.76
loop_
_symmetry_equiv_pos_as_xyz
'x,y,z'
loop_
_atom_site_label
_atom_site_type_symbol
_atom_site_fract_x
_atom_site_fract_y
_atom_site_fract_z
Tb1 Tb 0.9816 0.9631 0.2504
Tb2 Tb 0.6864 0.3729 0.4019
Tb3 Tb 0.0207 0.0415 0.7503
Tb4 Tb 0.6865 0.3731 0.0988
Tb5 Tb 0.3158 0.6317 0.9019
Tb6 Tb 0.3158 0.6316 0.5988
Si1 Si 0.0012 0.0024 0.5004
Si2 Si 0.3987 0.7974 0.3941
Si3 Si 0.7420 0.4839 0.7503
Si4 Si 0.3988 0.7976 0.1066
Si5 Si 0.6035 0.2071 0.6066
Si6 Si 0.0011 0.0023 0.0004
Si7 Si 0.6036 0.2072 0.8941
Si8 Si 0.2603 0.5207 0.2503
```

E_form (uncorrected) (eV per atom): -0.7174
Space group: Cmcm (63)